[1]
Here is a relaxed CrBRu3 crystal from Alexandria. Energies are from PBE-GGA.

Computed properties:
E_form: 2.056 eV per atom
M_tot: 0.897 μB per formula unit
Calculated volume: 83.59 Å³ per cell
Excess energy over the best structure of this formula in the dataset: 1926 meV/atom
Symmetry: Pm-3m, No. 221

Unit cell a=4.372 b=4.372 c=4.372 alpha=90.00 beta=90.00 gamma=90.00
Element x y z (fractional)
Ru: 0.000 0.500 0.000
Ru: 0.000 0.000 0.500
Ru: 0.500 0.000 0.000
B: 0.500 0.500 0.500
Cr: 0.000 0.000 0.000

***

[2]
Here is a relaxed SmScOsRu crystal from Alexandria. Energies are from PBE-GGA.

Computed properties:
E_form: -0.177 eV per atom
M_tot: 0.000 μB per formula unit
Calculated volume: 74.70 Å³ per cell
Symmetry: F-43m, No. 216

Unit cell a=4.727 b=4.727 c=4.727 alpha=60.00 beta=60.00 gamma=60.00
Element x y z (fractional)
Sc: 0.000 0.000 0.000
Ru: 0.750 0.750 0.750
Os: 0.250 0.250 0.250
Sm: 0.500 0.500 0.500

***

[3]
Here is a relaxed BaNi2Au crystal from Alexandria. Energies are from PBE-GGA.

Computed properties:
E_form: 0.330 eV per atom
M_tot: 0.000 μB per formula unit
Calculated volume: 78.00 Å³ per cell
Excess energy over the best structure of this formula in the dataset: 519 meV/atom
Symmetry: Fm-3m, No. 225

Unit cell a=4.796 b=4.796 c=4.796 alpha=60.00 beta=60.00 gamma=60.00
Element x y z (fractional)
Ni: 0.250 0.250 0.250
Ni: 0.750 0.750 0.750
Au: 0.500 0.500 0.500
Ba: 0.000 0.000 0.000

***

[4]
Here is a relaxed CuSbIO6 crystal from Alexandria. Energies are from PBE-GGA.

Computed properties:
M_tot: 0.778 μB per formula unit
Calculated volume: 229.25 Å³ per cell
Symmetry: P-31c, No. 163
Formation energy (no corrections): -0.5731 eV per atom

Unit cell a=5.368 b=5.368 c=9.187 alpha=90.00 beta=90.00 gamma=120.00
Element x y z (fractional)
Cu: 0.000 0.000 0.000
Cu: 0.000 0.000 0.500
Sb: 0.667 0.333 0.250
Sb: 0.333 0.667 0.750
I: 0.333 0.667 0.250
I: 0.667 0.333 0.750
O: 0.656 0.647 0.131
O: 0.991 0.344 0.131
O: 0.344 0.991 0.631
O: 0.009 0.656 0.869
O: 0.353 0.344 0.369
O: 0.991 0.647 0.369
O: 0.647 0.991 0.869
O: 0.656 0.009 0.369
O: 0.009 0.353 0.631
O: 0.353 0.009 0.131
O: 0.647 0.656 0.631
O: 0.344 0.353 0.869